La2YZr | PBE | optimized geometry

a b c (Å): 8.790 8.790 6.687
angles (deg): 90.00 90.00 90.00
Space group I-42d (No. 122)
Symmetry-distinct sites (fractional):
La  0.225  0.750  0.125
Y  0.000  0.000  0.500
Zr  0.000  0.000  0.000

Computed properties:
Volume ... 516.71 Å³ per cell
Formation enthalpy at 0 K ... 520 meV/atom
Total magnetic moment ... 4.1 Bohr magnetons per cell

=====

USi3NiIr | PBE | optimized geometry

a b c (Å): 5.480 14.529 5.513
angles (deg): 90.00 90.00 90.00
Space group Cmcm (No. 63)
Symmetry-distinct sites (fractional):
U  0.000  0.182  0.250
Si  0.000  0.245  0.750
Si  0.239  0.000  0.000
Ni  0.000  0.092  0.750
Ir  0.000  0.407  0.750

Computed properties:
Volume ... 438.95 Å³ per cell
Total magnetic moment ... 8.4 Bohr magnetons per cell
Formation energy without anion corrections ... -0.27 eV per atom

=====

Li2Ca8Cd | PBE | optimized geometry

a b c (Å): 5.536 9.447 15.032
angles (deg): 90.00 90.00 90.00
Space group Immm (No. 71)
Symmetry-distinct sites (fractional):
Li  0.000  0.000  0.200
Ca  0.000  0.185  0.000
Ca  0.000  0.280  0.344
Ca  0.000  0.500  0.132
Cd  0.000  0.000  0.500

Computed properties:
Volume ... 786.15 Å³ per cell
Formation enthalpy at 0 K ... 7 meV/atom
Total magnetic moment ... 0.0 Bohr magnetons per cell

=====

AlIn2Sn | PBE | optimized geometry

a b c (Å): 4.5353 4.5353 18.1790
angles (deg): 90.00 90.00 120.00
Space group R3m (No. 160, hexagonal axes)
Symmetry-distinct sites (fractional):
Al  0.0000  0.0000  0.0000
In  0.0000  0.0000  0.4077
In  0.0000  0.0000  0.5962
Sn  0.0000  0.0000  0.8377

Computed properties:
Volume ... 323.82 Å³ per cell
Formation enthalpy at 0 K ... 147 meV/atom
Total magnetic moment ... 0.0 Bohr magnetons per cell

=====

What did the fourth record say?
AlIn2Sn | PBE | optimized geometry

a b c (Å): 4.5353 4.5353 18.1790
angles (deg): 90.00 90.00 120.00
Space group R3m (No. 160, hexagonal axes)
Symmetry-distinct sites (fractional):
Al  0.0000  0.0000  0.0000
In  0.0000  0.0000  0.4077
In  0.0000  0.0000  0.5962
Sn  0.0000  0.0000  0.8377

Computed properties:
Volume ... 323.82 Å³ per cell
Formation enthalpy at 0 K ... 147 meV/atom
Total magnetic moment ... 0.0 Bohr magnetons per cell